No. 1
Computed, not measured: crystalline KNiPtCl6 at its relaxed geometry at the PBE level of DFT.

Lattice parameters (Å, degrees): 6.4752 10.7438 7.0680 90.00 91.77 90.00
Space group C2 (No. 5)
Unique sites:
K (0.0000, 0.0000, 0.0000)
Ni (0.0000, 0.3309, 0.5000)
Pt (0.0000, 0.6676, 0.5000)
Cl (0.1324, 0.5045, 0.6887)
Cl (0.1669, 0.1913, 0.7070)
Cl (0.1799, 0.8192, 0.6811)

---

No. 2
Computed, not measured: crystalline KRbNiCl4 at its relaxed geometry at the PBE level of DFT.

Lattice parameters (Å, degrees): 6.8035 7.1429 9.4274 90.00 110.57 90.00
Space group P2_1/m (No. 11)
Unique sites:
K (0.1952, 0.2500, 0.0441)
Rb (0.2822, 0.2500, 0.5730)
Ni (0.2351, 0.7500, 0.8057)
Cl (0.0114, 0.5064, 0.7472)
Cl (0.3634, 0.7500, 0.0599)
Cl (0.4016, 0.7500, 0.6379)

---

No. 3
Computed, not measured: crystalline K2RbNiCl6 at its relaxed geometry at the PBE level of DFT.

Lattice parameters (Å, degrees): 6.9766 6.9766 47.1431 90.00 90.00 120.00
Space group R-3m (No. 166, hexagonal axes)
Unique sites:
K (0.0000, 0.0000, 0.1460)
K (0.0000, 0.0000, 0.3132)
Rb (0.0000, 0.0000, 0.4149)
Ni (0.0000, 0.0000, 0.0000)
Ni (0.0000, 0.0000, 0.5000)
Cl (0.0197, 0.5099, 0.1378)
Cl (0.0215, 0.5108, 0.6957)

---

Respective E values: -3.445 -3.524 -3.336 eV per atom.